[1]
DFT (PBE) results for crystalline CdCuBr3 at its relaxed geometry.

Density ... 3.92 Mg/m³
Size of the total moment ... 0.000 μB per atom
Total DFT energy (no corrections) ... -2.577 eV/atom
Calculated volume ... 704 Å³/cell
Excess energy over the best structure of this formula in the dataset ... 0.450 kcal/mol of atoms
ΔE_f (raw) ... -0.5710 eV per atom

Geometry as CIF:
```
data_CdCuBr3
_symmetry_space_group_name_H-M 'C 1 2/m 1'
_symmetry_Int_Tables_number 12
_symmetry_space_group_name_Hall '-C 2y'
_cell_length_a 14.0916
_cell_length_b 4.1376
_cell_length_c 12.1825
_cell_angle_alpha 90.00
_cell_angle_beta 97.81
_cell_angle_gamma 90.00
loop_
_atom_site_label
_atom_site_type_symbol
_atom_site_fract_x
_atom_site_fract_y
_atom_site_fract_z
Cd1 Cd 0.0862 0.0000 0.2865
Cu1 Cu 0.1868 0.5000 0.8132
Br1 Br 0.1089 0.0000 0.7532
Br2 Br 0.1309 0.5000 0.4188
Br3 Br 0.1545 0.0000 0.0981
```



[2]
DFT (PBE) results for crystalline CdCuBr at its relaxed geometry.

Density ... 5.93 Mg/m³
Size of the total moment ... 0.000 μB per atom
Total DFT energy (no corrections) ... -2.214 eV/atom
Calculated volume ... 286 Å³/cell
Excess energy over the best structure of this formula in the dataset ... 2.585 kcal/mol of atoms
ΔE_f (raw) ... 0.0145 eV per atom

Geometry as CIF:
```
data_CdCuBr
_symmetry_space_group_name_H-M 'F m m 2'
_symmetry_Int_Tables_number 42
_symmetry_space_group_name_Hall 'F 2 -2'
_cell_length_a 3.6604
_cell_length_b 6.3891
_cell_length_c 12.2488
_cell_angle_alpha 90.00
_cell_angle_beta 90.00
_cell_angle_gamma 90.00
loop_
_atom_site_label
_atom_site_type_symbol
_atom_site_fract_x
_atom_site_fract_y
_atom_site_fract_z
Cd1 Cd 0.0000 0.0000 0.0000
Cu1 Cu 0.0000 0.0000 0.6527
Br1 Br 0.0000 0.0000 0.2899
```



[3]
DFT (PBE) results for crystalline Cd2CuBr at its relaxed geometry.

Density ... 6.85 Mg/m³
Size of the total moment ... 0.000 μB per atom
Total DFT energy (no corrections) ... -1.703 eV/atom
Calculated volume ... 89 Å³/cell
Excess energy over the best structure of this formula in the dataset ... 5.650 kcal/mol of atoms
ΔE_f (raw) ... 0.1964 eV per atom

Geometry as CIF:
```
data_Cd2CuBr
_symmetry_space_group_name_H-M 'P 4/m m m'
_symmetry_Int_Tables_number 123
_symmetry_space_group_name_Hall '-P 4 2'
_cell_length_a 5.3115
_cell_length_b 5.3115
_cell_length_c 3.1663
_cell_angle_alpha 90.00
_cell_angle_beta 90.00
_cell_angle_gamma 90.00
loop_
_atom_site_label
_atom_site_type_symbol
_atom_site_fract_x
_atom_site_fract_y
_atom_site_fract_z
Cd1 Cd 0.0000 0.5000 0.0000
Cu1 Cu 0.0000 0.0000 0.5000
Br1 Br 0.5000 0.5000 0.5000
```



[4]
DFT (PBE) results for crystalline CdIn2CuBr at its relaxed geometry.

Density ... 5.91 Mg/m³
Size of the total moment ... 0.000 μB per atom
Total DFT energy (no corrections) ... -2.562 eV/atom
Calculated volume ... 136 Å³/cell
ΔE_f (raw) ... -0.1301 eV per atom

Geometry as CIF:
```
data_CdIn2CuBr
_symmetry_space_group_name_H-M 'P 4/m m m'
_symmetry_Int_Tables_number 123
_symmetry_space_group_name_Hall '-P 4 2'
_cell_length_a 5.1544
_cell_length_b 5.1544
_cell_length_c 5.1347
_cell_angle_alpha 90.00
_cell_angle_beta 90.00
_cell_angle_gamma 90.00
loop_
_atom_site_label
_atom_site_type_symbol
_atom_site_fract_x
_atom_site_fract_y
_atom_site_fract_z
Cd1 Cd 0.0000 0.0000 0.0000
In1 In 0.0000 0.5000 0.5000
Cu1 Cu 0.0000 0.0000 0.5000
Br1 Br 0.5000 0.5000 0.0000
```



[5]
DFT (PBE) results for crystalline KCd3Cu4Br12 at its relaxed geometry.

Density ... 4.06 Mg/m³
Size of the total moment ... 0.057 μB per atom
Total DFT energy (no corrections) ... -2.654 eV/atom
Calculated volume ... 1950 Å³/cell
ΔE_f (raw) ... -0.6390 eV per atom

Geometry as CIF:
```
data_KCd3Cu4Br12
_symmetry_space_group_name_H-M 'R 3 2'
_symmetry_Int_Tables_number 155
_symmetry_space_group_name_Hall 'R 3 2"'
_cell_length_a 14.5607
_cell_length_b 14.5607
_cell_length_c 10.6194
_cell_angle_alpha 90.00
_cell_angle_beta 90.00
_cell_angle_gamma 120.00
loop_
_atom_site_label
_atom_site_type_symbol
_atom_site_fract_x
_atom_site_fract_y
_atom_site_fract_z
K1 K 0.0000 0.0000 0.0000
Cd1 Cd 0.0000 0.5630 0.0000
Cu1 Cu 0.0000 0.0000 0.5000
Cu2 Cu 0.0000 0.4223 0.5000
Br1 Br 0.0000 0.5894 0.5000
Br2 Br 0.0000 0.8383 0.5000
Br3 Br 0.0510 0.2111 0.1873
```



[6]
DFT (PBE) results for crystalline KCdCu2Br6 at its relaxed geometry.

Density ... 3.59 Mg/m³
Size of the total moment ... 0.110 μB per atom
Total DFT energy (no corrections) ... -2.739 eV/atom
Calculated volume ... 1404 Å³/cell
ΔE_f (raw) ... -0.7143 eV per atom

Geometry as CIF:
```
data_KCdCu2Br6
_symmetry_space_group_name_H-M 'C 1 2/c 1'
_symmetry_Int_Tables_number 15
_symmetry_space_group_name_Hall '-C 2yc'
_cell_length_a 14.3201
_cell_length_b 13.1913
_cell_length_c 8.0831
_cell_angle_alpha 90.00
_cell_angle_beta 113.18
_cell_angle_gamma 90.00
loop_
_atom_site_label
_atom_site_type_symbol
_atom_site_fract_x
_atom_site_fract_y
_atom_site_fract_z
K1 K 0.0000 0.1417 0.2500
Cd1 Cd 0.0000 0.2019 0.7500
Cu1 Cu 0.1916 0.4459 0.1904
Br1 Br 0.1198 0.0666 0.6699
Br2 Br 0.1236 0.2729 0.0592
Br3 Br 0.1443 0.4377 0.4449
```



[7]
DFT (PBE) results for crystalline MnCdCu2Br at its relaxed geometry.

Density ... 5.78 Mg/m³
Size of the total moment ... 0.807 μB per atom
Total DFT energy (no corrections) ... -3.130 eV/atom
Calculated volume ... 108 Å³/cell
ΔE_f (raw) ... 0.8597 eV per atom

Geometry as CIF:
```
data_MnCdCu2Br
_symmetry_space_group_name_H-M 'P 4/m m m'
_symmetry_Int_Tables_number 123
_symmetry_space_group_name_Hall '-P 4 2'
_cell_length_a 4.7321
_cell_length_b 4.7321
_cell_length_c 4.8055
_cell_angle_alpha 90.00
_cell_angle_beta 90.00
_cell_angle_gamma 90.00
loop_
_atom_site_label
_atom_site_type_symbol
_atom_site_fract_x
_atom_site_fract_y
_atom_site_fract_z
Mn1 Mn 0.0000 0.0000 0.0000
Cd1 Cd 0.5000 0.5000 0.0000
Cu1 Cu 0.0000 0.5000 0.5000
Br1 Br 0.0000 0.0000 0.5000
```



[8]
DFT (PBE) results for crystalline Na2CdCuBr5 at its relaxed geometry.

Density ... 4.12 Mg/m³
Size of the total moment ... 0.000 μB per atom
Total DFT energy (no corrections) ... -2.783 eV/atom
Calculated volume ... 1002 Å³/cell
ΔE_f (raw) ... -1.0041 eV per atom

Geometry as CIF:
```
data_Na2CdCuBr5
_symmetry_space_group_name_H-M 'C m c 21'
_symmetry_Int_Tables_number 36
_symmetry_space_group_name_Hall 'C 2c -2'
_cell_length_a 4.1030
_cell_length_b 17.7940
_cell_length_c 13.7294
_cell_angle_alpha 90.00
_cell_angle_beta 90.00
_cell_angle_gamma 90.00
loop_
_atom_site_label
_atom_site_type_symbol
_atom_site_fract_x
_atom_site_fract_y
_atom_site_fract_z
Na1 Na 0.0000 0.0867 0.0000
Na2 Na 0.0000 0.1230 0.6764
Cd1 Cd 0.0000 0.2173 0.3749
Cu1 Cu 0.0000 0.4448 0.7682
Br1 Br 0.0000 0.0580 0.3669
Br2 Br 0.0000 0.2751 0.0157
Br3 Br 0.0000 0.2948 0.7328
Br4 Br 0.0000 0.3713 0.3490
Br5 Br 0.0000 0.4963 0.1114
```